Li2SnN, optimized geometry, DFT PBE-GGA; electronic total energy = -67.8 eV for the cell shown; energy above the lowest structure with this stoichiometry = 0 meV/atom; M_tot = 0.00 μB/atom; space group = Pnma (62)
1.0
-2.110 -1.093 5.565
2.144 -5.315 -0.231
5.761 2.210 2.619
Li N Sn
8 4 4
direct
0.865 0.392 0.562
0.365 0.108 0.062
0.365 0.108 0.438
0.865 0.392 0.938
0.135 0.608 0.062
0.135 0.608 0.438
0.635 0.892 0.938
0.635 0.892 0.562
0.404 0.058 0.750
0.904 0.442 0.250
0.096 0.558 0.750
0.596 0.942 0.250
0.561 0.557 0.250
0.439 0.443 0.750
0.061 0.943 0.750
0.939 0.057 0.250

Li2SnN, optimized geometry, DFT PBE-GGA; electronic total energy = -14.2 eV for the cell shown; energy above the lowest structure with this stoichiometry = 680 meV/atom; M_tot = 0.00 μB/atom; space group = Fm-3m (225)
1.0
-1.966 -3.816 -0.495
-1.799 -1.961 3.404
-4.301 -0.271 0.313
Li N Sn
2 1 1
direct
0.250 0.250 0.250
0.750 0.750 0.750
0.000 0.000 0.000
0.500 0.500 0.500

Li3SnN, optimized geometry, DFT PBE-GGA; electronic total energy = -39.3 eV for the cell shown; energy above the lowest structure with this stoichiometry = 0 meV/atom; M_tot = 0.00 μB/atom; space group = P2_1 (4)
1.0
-4.277 2.806 -0.916
-0.562 1.047 5.832
2.626 4.621 1.897
Li Sn N
6 2 2
direct
0.050 0.998 0.585
0.870 0.575 0.539
0.477 0.776 0.861
0.550 0.355 0.317
0.370 0.778 0.362
0.977 0.577 0.040
0.298 0.288 0.799
0.798 0.064 0.102
0.683 0.691 0.191
0.183 0.662 0.710

Li3SnN, optimized geometry, DFT PBE-GGA; electronic total energy = -12.9 eV for the cell shown; energy above the lowest structure with this stoichiometry = 1346 meV/atom; M_tot = 0.80 μB/atom; space group = Pm-3m (221)
1.0
5.341 0.000 0.000
0.000 5.341 0.000
0.000 0.000 5.341
N Li Sn
1 3 1
direct
0.500 0.500 0.500
0.500 0.000 0.000
0.000 0.500 0.000
0.000 0.000 0.500
0.000 0.000 0.000

Li4SnN, optimized geometry, DFT PBE-GGA; electronic total energy = -43.6 eV for the cell shown; M_tot = 0.00 μB/atom; space group = P-1 (2)
1.0
-3.119 -3.184 3.003
-0.919 -2.983 -4.114
7.520 -0.753 2.183
Sn Li N
2 8 2
direct
0.155 0.249 0.999
0.845 0.751 0.001
0.190 0.188 0.441
0.543 0.123 0.769
0.810 0.812 0.559
0.773 0.377 0.230
0.250 0.688 0.441
0.457 0.877 0.231
0.750 0.312 0.559
0.227 0.623 0.770
0.000 0.500 0.500
0.500 0.000 0.500

Li2SnN, optimized geometry, DFT PBE-GGA; electronic total energy = -30.1 eV for the cell shown; energy above the lowest structure with this stoichiometry = 477 meV/atom; M_tot = 0.00 μB/atom; space group = I4_1/amd (141)
1.0
-4.810 -0.272 2.963
1.896 -4.621 2.654
0.316 0.066 5.916
Sn Li N
2 4 2
direct
0.000 0.000 0.000
0.750 0.250 0.500
0.375 0.125 0.250
0.875 0.625 0.750
0.375 0.625 0.250
0.375 0.625 0.750
0.500 0.500 0.000
0.250 0.750 0.500

Li3SnN, optimized geometry, DFT PBE-GGA; electronic total energy = -18.6 eV for the cell shown; energy above the lowest structure with this stoichiometry = 205 meV/atom; M_tot = 0.00 μB/atom; space group = Pm-3m (221)
1.0
4.095 0.000 0.000
0.000 4.095 0.000
0.000 0.000 4.095
Sn N Li
1 1 3
direct
0.500 0.500 0.500
0.000 0.000 0.000
0.500 0.000 0.000
0.000 0.000 0.500
0.000 0.500 0.000

LiSn3N, optimized geometry, DFT PBE-GGA; electronic total energy = -20.3 eV for the cell shown; energy above the lowest structure with this stoichiometry = 0 meV/atom; M_tot = 0.00 μB/atom; space group = Pm-3m (221)
1.0
-0.815 4.732 0.462
-4.181 -0.937 2.215
2.263 -0.026 4.260
N Sn Li
1 3 1
direct
0.000 0.000 0.000
0.000 0.500 0.000
0.500 0.000 0.000
0.000 0.000 0.500
0.500 0.500 0.500

LiTc2SnN, optimized geometry, DFT PBE-GGA; electronic total energy = -35.6 eV for the cell shown; M_tot = 0.00 μB/atom; space group = P4/mmm (123)
1.0
4.078 0.000 0.000
0.000 4.078 0.000
0.000 0.000 4.103
Tc N Li Sn
2 1 1 1
direct
0.500 0.000 0.000
0.000 0.500 0.000
0.000 0.000 0.000
0.000 0.000 0.500
0.500 0.500 0.500

Li2TcSnN4, optimized geometry, DFT PBE-GGA; electronic total energy = -105.0 eV for the cell shown; M_tot = 0.00 μB/atom; space group = Pmn2_1 (31)
1.0
-2.406 -3.044 -3.805
5.273 -1.416 -2.202
0.273 -5.267 4.041
Tc N Li Sn
2 8 4 2
direct
0.501 0.826 0.500
0.001 0.174 0.000
0.842 0.823 0.500
0.388 0.678 0.730
0.894 0.878 0.000
0.888 0.322 0.770
0.394 0.122 0.500
0.888 0.322 0.230
0.388 0.678 0.270
0.342 0.177 0.000
0.495 0.338 0.750
0.995 0.662 0.250
0.995 0.662 0.750
0.495 0.338 0.250
0.496 0.845 0.000
0.996 0.155 0.500

Li2TcSnN, optimized geometry, DFT PBE-GGA; electronic total energy = -27.9 eV for the cell shown; M_tot = 0.05 μB/atom; space group = P4/mmm (123)
1.0
4.157 0.000 0.000
0.000 4.157 0.000
0.000 0.000 3.908
N Li Tc Sn
1 2 1 1
direct
0.000 0.000 0.000
0.000 0.500 0.000
0.500 0.000 0.000
0.000 0.000 0.500
0.500 0.500 0.500

LiSnTeN2, optimized geometry, DFT PBE-GGA; electronic total energy = -21.0 eV for the cell shown; energy above the lowest structure with this stoichiometry = 0 meV/atom; M_tot = 0.59 μB/atom; space group = P4/mmm (123)
1.0
-3.820 1.798 0.260
-1.588 -3.010 -2.511
-1.259 -3.375 4.841
Li Te Sn N
1 1 1 2
direct
0.500 0.500 0.500
0.000 0.000 0.500
0.000 0.000 0.000
0.000 0.500 0.000
0.500 0.000 0.000

LiSnTeN2, optimized geometry, DFT PBE-GGA; electronic total energy = -18.5 eV for the cell shown; energy above the lowest structure with this stoichiometry = 489 meV/atom; M_tot = 0.90 μB/atom; space group = P4/mmm (123)
1.0
-1.258 -3.745 1.775
-0.718 -1.630 -3.948
4.957 -1.750 -0.179
N Te Sn Li
2 1 1 1
direct
0.500 0.000 0.000
0.000 0.500 0.000
0.000 0.000 0.500
0.500 0.500 0.500
0.000 0.000 0.000

LiTi2SnN, optimized geometry, DFT PBE-GGA; electronic total energy = -34.3 eV for the cell shown; M_tot = 0.00 μB/atom; space group = P4/mmm (123)
1.0
4.139 0.000 0.000
0.000 4.139 0.000
0.000 0.000 4.200
N Li Ti Sn
1 1 2 1
direct
0.000 0.000 0.000
0.000 0.000 0.500
0.500 0.000 0.000
0.000 0.500 0.000
0.500 0.500 0.500

Li2USnN4, optimized geometry, DFT PBE-GGA; electronic total energy = -107.7 eV for the cell shown; M_tot = 0.05 μB/atom; space group = Cmcm (63)
1.0
-0.878 2.696 1.770
-6.769 -1.817 -3.746
-2.141 -4.748 6.171
N Li Sn U
8 4 2 2
direct
0.352 0.704 0.393
0.000 0.000 0.500
0.352 0.704 0.107
0.338 0.675 0.750
0.000 0.000 0.000
0.648 0.296 0.893
0.662 0.325 0.250
0.648 0.296 0.607
0.573 0.146 0.424
0.427 0.854 0.924
0.573 0.146 0.076
0.427 0.854 0.576
0.234 0.468 0.250
0.766 0.532 0.750
0.083 0.165 0.750
0.917 0.835 0.250

Li3U3SnN8, optimized geometry, DFT PBE-GGA; electronic total energy = -121.4 eV for the cell shown; M_tot = 0.07 μB/atom; space group = R-3m (166)
1.0
-1.756 1.634 -6.394
-4.270 -3.640 3.890
1.316 6.159 1.212
N U Li Sn
8 3 3 1
direct
0.730 0.968 0.706
0.264 0.529 0.293
0.736 0.471 0.707
0.238 0.476 0.706
0.238 0.968 0.706
0.762 0.032 0.294
0.762 0.524 0.294
0.270 0.032 0.294
0.000 0.500 0.500
0.500 0.500 0.500
0.500 0.000 0.500
0.000 0.500 0.000
0.000 0.000 0.000
0.500 0.500 0.000
0.000 0.000 0.500

Li2SnWN4, optimized geometry, DFT PBE-GGA; electronic total energy = -114.6 eV for the cell shown; M_tot = 0.00 μB/atom; space group = Pmn2_1 (31)
1.0
5.380 0.000 0.000
0.000 5.903 0.000
0.000 0.000 6.659
N Li Sn W
8 4 2 2
direct
0.884 0.871 0.000
0.847 0.846 0.500
0.347 0.154 0.000
0.891 0.325 0.765
0.391 0.675 0.735
0.391 0.675 0.265
0.384 0.129 0.500
0.891 0.325 0.235
0.494 0.333 0.751
0.994 0.667 0.251
0.994 0.667 0.749
0.494 0.333 0.249
0.998 0.171 0.500
0.498 0.829 0.000
0.000 0.170 0.000
0.500 0.830 0.500

SrLi3N, optimized geometry, DFT PBE-GGA; electronic total energy = -5.9 eV for the cell shown; energy above the lowest structure with this stoichiometry = 2218 meV/atom; M_tot = 0.00 μB/atom; space group = Pm-3m (221)
1.0
5.568 0.000 0.000
0.000 5.568 0.000
0.000 0.000 5.568
Sr Li N
1 3 1
direct
0.000 0.000 0.000
0.500 0.000 0.000
0.000 0.500 0.000
0.000 0.000 0.500
0.500 0.500 0.500

Sr8Li2N, optimized geometry, DFT PBE-GGA; electronic total energy = -25.3 eV for the cell shown; M_tot = 0.00 μB/atom; space group = C2/m (12)
1.0
-1.049 -3.140 5.947
2.669 -6.345 -2.879
7.638 7.186 1.248
Sr N Li
8 1 2
direct
0.011 0.764 0.022
0.989 0.236 0.978
0.576 0.359 0.153
0.618 0.951 0.236
0.214 0.286 0.427
0.382 0.049 0.764
0.424 0.641 0.847
0.786 0.714 0.573
0.500 0.000 0.000
0.824 0.284 0.648
0.176 0.716 0.352

Sr4LiN2, optimized geometry, DFT PBE-GGA; electronic total energy = -54.4 eV for the cell shown; M_tot = 0.00 μB/atom; space group = Cmcm (63)
1.0
-3.208 -0.410 -2.356
5.594 -0.897 -4.062
-0.238 -13.909 2.744
Sr Li N
8 2 4
direct
0.246 0.491 0.906
0.500 0.000 0.500
0.915 0.829 0.750
0.754 0.509 0.406
0.246 0.491 0.594
0.754 0.509 0.094
0.085 0.171 0.250
0.500 0.000 0.000
0.623 0.246 0.750
0.377 0.754 0.250
0.139 0.278 0.435
0.861 0.722 0.565
0.139 0.278 0.065
0.861 0.722 0.935

SrLiN2, optimized geometry, DFT PBE-GGA; electronic total energy = -18.2 eV for the cell shown; energy above the lowest structure with this stoichiometry = 309 meV/atom; M_tot = 0.75 μB/atom; space group = Fm-3m (225)
1.0
0.000 3.046 3.046
3.046 0.000 3.046
3.046 3.046 0.000
N Li Sr
2 1 1
direct
0.750 0.750 0.750
0.250 0.250 0.250
0.000 0.000 0.000
0.500 0.500 0.500

SrLiN2, optimized geometry, DFT PBE-GGA; electronic total energy = -18.5 eV for the cell shown; energy above the lowest structure with this stoichiometry = 238 meV/atom; M_tot = 0.75 μB/atom; space group = R-3m (166)
1.0
2.214 0.000 4.356
-1.107 1.917 4.356
-1.107 -1.917 4.356
N Li Sr
2 1 1
direct
0.777 0.777 0.777
0.223 0.223 0.223
0.500 0.500 0.500
0.000 0.000 0.000

SrLi2N2, optimized geometry, DFT PBE-GGA; electronic total energy = -44.5 eV for the cell shown; M_tot = 0.00 μB/atom; space group = P4/mbm (127)
1.0
6.293 0.000 0.000
0.000 6.293 0.000
0.000 0.000 3.671
Li N Sr
4 4 2
direct
0.881 0.381 0.500
0.619 0.881 0.500
0.119 0.619 0.500
0.381 0.119 0.500
0.580 0.080 0.000
0.080 0.420 0.000
0.420 0.920 0.000
0.920 0.580 0.000
0.500 0.500 0.000
0.000 0.000 0.000

SrLi3N, optimized geometry, DFT PBE-GGA; electronic total energy = -34.0 eV for the cell shown; energy above the lowest structure with this stoichiometry = 0 meV/atom; M_tot = 0.00 μB/atom; space group = Pmn2_1 (31)
1.0
-4.393 -1.237 1.725
2.054 -6.944 0.250
1.986 0.790 5.624
Li N Sr
6 2 2
direct
0.994 0.875 0.701
0.436 0.750 0.931
0.494 0.478 0.201
0.936 0.603 0.971
0.936 0.603 0.431
0.436 0.750 0.471
0.681 0.714 0.201
0.181 0.639 0.701
0.333 0.318 0.701
0.833 0.035 0.201